1.
Compound: Sr2Ga3SnPt2
Source: the Open Quantum Materials Database
Functional: PBE
Structure: optimized geometry

Cell lengths 11.327, 4.338, 7.371 Å; angles 90.00, 90.24, 90.00 degrees
Space group Cm (No. 8)
Inequivalent atoms, fractional coordinates:
Sr: 0.000 0.000 0.000 x2
Sr: 0.125 0.000 0.520 x2
Ga: 0.227 0.500 0.806 x2
Ga: 0.402 0.000 0.310 x2
Ga: 0.406 0.000 0.693 x2
Sn: 0.211 0.500 0.201 x2
Pt: 0.284 0.000 0.993 x2
Pt: 0.352 0.500 0.508 x2

## Properties
E_tot ... -4.3077 eV per atom



2.
Compound: Tm2GaSnPt4
Source: the Open Quantum Materials Database
Functional: PBE
Structure: optimized geometry

Cell lengths 4.4580, 4.4580, 9.0215 Å; angles 90.00, 90.00, 120.00 degrees
Space group P-3m1 (No. 164)
Inequivalent atoms, fractional coordinates:
Tm: 0.3333 0.6667 0.2561 x2
Ga: 0.0000 0.0000 0.5000 x1
Sn: 0.0000 0.0000 0.0000 x1
Pt: 0.3333 0.6667 0.5832 x2
Pt: 0.3333 0.6667 0.9046 x2

## Properties
E_tot ... -6.0643 eV per atom



3.
Compound: SrGaPt2
Source: the Open Quantum Materials Database
Functional: PBE
Structure: optimized geometry

Cell lengths 4.3857, 4.3857, 5.5696 Å; angles 90.00, 90.00, 120.00 degrees
Space group P-6m2 (No. 187)
Inequivalent atoms, fractional coordinates:
Sr: 0.0000 0.0000 0.0000 x1
Ga: 0.3333 0.6667 0.5000 x1
Pt: 0.6667 0.3333 0.2690 x2

## Properties
E_tot ... -4.7129 eV per atom



4.
Compound: SrGa6Pt4
Source: the Open Quantum Materials Database
Functional: PBE
Structure: optimized geometry

Cell lengths 7.4329, 7.4329, 4.1033 Å; angles 90.00, 90.00, 120.00 degrees
Space group P-6m2 (No. 187)
Inequivalent atoms, fractional coordinates:
Sr: 0.0000 0.0000 0.0000 x1
Ga: 0.1972 0.3944 0.5000 x3
Ga: 0.5339 0.0678 0.0000 x3
Pt: 0.3333 0.6667 0.0000 x1
Pt: 0.4083 0.2041 0.5000 x3

## Properties
E_tot ... -4.7261 eV per atom



5.
Compound: SrGaPt
Source: the Open Quantum Materials Database
Functional: PBE
Structure: optimized geometry

Cell lengths 7.008, 7.008, 7.008 Å; angles 90.00, 90.00, 90.00 degrees
Space group F-43m (No. 216)
Inequivalent atoms, fractional coordinates:
Sr: 0.000 0.000 0.000 x4
Ga: 0.250 0.250 0.750 x4
Pt: 0.250 0.250 0.250 x4

## Properties
E_tot ... -3.5052 eV per atom



6.
Compound: SrGaPt
Source: the Open Quantum Materials Database
Functional: PBE
Structure: optimized geometry

Cell lengths 6.765, 6.765, 6.765 Å; angles 90.00, 90.00, 90.00 degrees
Space group F-43m (No. 216)
Inequivalent atoms, fractional coordinates:
Sr: 0.000 0.000 0.000 x4
Ga: 0.000 0.000 0.500 x4
Pt: 0.250 0.250 0.750 x4

## Properties
E_tot ... -4.1136 eV per atom